8
Lattice="-2.593 3.194 8.470 -8.944 -2.261 -1.886 -5.414 -1.715 4.224" Properties=species:S:1:pos:R:3 comment="SrHg2O, relaxed, DFT PBE" formation_energy_uncorrected_ev_per_atom=-0.8012 vol_a3_per_cell=212.7 space_group="I-42d, No. 122" magnetic_moment_mub_per_atom=0.00 pbc="T T T"
Sr 0.000 0.000 0.000
Hg -13.358 -0.269 9.097
Hg -7.499 -1.158 1.692
Hg -9.185 -1.138 5.469
Hg -3.861 1.000 5.359
Sr -6.888 0.973 7.993
O -10.063 -1.755 2.815
O -5.769 0.466 3.292